# 1
MgTlTe2 | GGA-PBE | relaxed

Values from the calculation:
total DFT energy (no corrections): -2.623 eV/atom
total moment: 0.00 Bohr magnetons per cell

a b c (Å): 3.4104 3.4104 10.2900
angles (deg): 90.00 90.00 98.44
Fractional coordinates of all 4 atoms:
1 Te 0.0000 0.0000 0.9327
2 Te 0.5000 0.5000 0.2805
3 Mg 0.5000 0.5000 0.7540
4 Tl 0.0000 0.0000 0.5328


# 2
LaHoSc2 | GGA-PBE | relaxed

Values from the calculation:
ΔE_f: 0.07 eV per atom
total moment: 0.00 Bohr magnetons per cell
polymorph energy (0 for the lowest one): 15.7 meV/atom

a b c (Å): 3.9076 3.9076 7.6307
angles (deg): 90.00 90.00 90.00
Fractional coordinates of all 4 atoms:
1 Sc 0.0000 0.0000 0.2373
2 Sc 0.0000 0.0000 0.7627
3 La 0.5000 0.5000 0.5000
4 Ho 0.5000 0.5000 0.0000